The following is a PBE calculation of an optimized crystal structure of CaCdIr2, from Alexandria via LeMat-Bulk.

abc: 4.165 4.156 4.156
angles: 90.00 90.00 90.00
Fractional coordinates of all 4 atoms:
Ir  0.000  0.500  0.500
Ir  0.000  0.000  0.000
Cd  0.500  0.000  0.500
Ca  0.500  0.500  0.000

Output
Symmetry: No. 123
Magnetization (μB per formula unit): 0.00
Energy relative to the elements (eV/atom): 0.06

=====

The following is a PBE calculation of an optimized crystal structure of CaCdIr, from Alexandria via LeMat-Bulk.

abc: 4.717 4.717 4.717
angles: 60.00 60.00 60.00
Fractional coordinates of all 3 atoms:
Cd  0.000  0.000  0.000
Ir  0.500  0.500  0.500
Ca  0.250  0.250  0.250

Output
Symmetry: No. 216
Magnetization (μB per formula unit): 0.00
Energy relative to the elements (eV/atom): 0.55

=====

The following is a PBE calculation of an optimized crystal structure of CaCdIr2, from Alexandria via LeMat-Bulk.

abc: 2.937 2.937 8.701
angles: 90.00 90.00 90.00
Fractional coordinates of all 4 atoms:
Ir  0.500  0.500  0.217
Ir  0.000  0.000  0.027
Ca  0.000  0.000  0.475
Cd  0.500  0.500  0.781

Output
Symmetry: No. 99
Magnetization (μB per formula unit): 0.00
Energy relative to the elements (eV/atom): 0.05

=====

The following is a PBE calculation of an optimized crystal structure of CaCdIr2, from Alexandria via LeMat-Bulk.

abc: 2.906 3.846 7.310
angles: 90.00 90.00 90.00
Fractional coordinates of all 4 atoms:
Ca  0.000  0.000  0.464
Cd  0.500  0.500  0.792
Ir  0.500  0.500  0.186
Ir  0.000  0.000  0.058

Output
Symmetry: No. 25
Magnetization (μB per formula unit): 0.00
Energy relative to the elements (eV/atom): 0.03